Record 1
# SrInSn4 | the Alexandria database | PBE | optimized geometry
# Electronic total energy (eV per formula unit): -22.0
# Crystal system: orthorhombic
# V (Å³ per atom): 29.865
# Spin magnetization (μB/cell): 0.000
# Theoretical density (g/cm3): 6.28
# Energy of formation from the pure elements (eV/atom): -0.263
# Excess energy over the best structure of this formula in the dataset (meV per atom): 0
data_SrInSn4
_space_group_name_H-M_alt 'I m m m'
_space_group_IT_number 71
_space_group_name_Hall '-I 2 2'
_cell_length_a 4.650
_cell_length_b 7.157
_cell_length_c 10.769
_cell_angle_alpha 90.00
_cell_angle_beta 90.00
_cell_angle_gamma 90.00
loop_
_atom_site_label
_atom_site_fract_x
_atom_site_fract_y
_atom_site_fract_z
Sr1 0.000 0.000 0.000
In1 0.000 0.500 0.000
Sn1 0.000 0.210 0.335

Record 2
# La2InP | the Alexandria database | PBE | optimized geometry
# Electronic total energy (eV per formula unit): -20.3
# Crystal system: cubic
# V (Å³ per atom): 27.559
# Spin magnetization (μB/cell): 0.000
# Theoretical density (g/cm3): 6.38
# Energy of formation from the pure elements (eV/atom): -0.583
# Excess energy over the best structure of this formula in the dataset (meV per atom): 374
data_La2InP
_space_group_name_H-M_alt 'F m -3 m'
_space_group_IT_number 225
_space_group_name_Hall '-F 4 2 3'
_cell_length_a 7.611
_cell_length_b 7.611
_cell_length_c 7.611
_cell_angle_alpha 90.00
_cell_angle_beta 90.00
_cell_angle_gamma 90.00
loop_
_atom_site_label
_atom_site_fract_x
_atom_site_fract_y
_atom_site_fract_z
La1 0.250 0.250 0.250
In1 0.000 0.000 0.000
P1 0.000 0.000 0.500

Record 3
# Tm3MgS | the Alexandria database | PBE | optimized geometry
# Electronic total energy (eV per formula unit): -22.4
# Crystal system: cubic
# ΔE_f (raw) (kcal/mol of atoms): -15.22
# V (Å³ per atom): 27.177
# Spin magnetization (μB/cell): 0.000
# Theoretical density (g/cm3): 6.88
data_Tm3MgS
_space_group_name_H-M_alt 'P m -3 m'
_space_group_IT_number 221
_space_group_name_Hall '-P 4 2 3'
_cell_length_a 5.141
_cell_length_b 5.141
_cell_length_c 5.141
_cell_angle_alpha 90.00
_cell_angle_beta 90.00
_cell_angle_gamma 90.00
loop_
_atom_site_label
_atom_site_fract_x
_atom_site_fract_y
_atom_site_fract_z
Tm1 0.000 0.000 0.500
Mg1 0.500 0.500 0.500
S1 0.000 0.000 0.000